Material: NiSeIN2
Method: DFT, SCAN
State: PBEsol geometry

Summary:
**Energy relative to the lowest polymorph listed for this composition**: 0 meV/atom
**Calculated density**: 5.21 g/cm3
**E_form (uncorrected)**: 1.610 eV per atom
**VASP energy**: -0.614 Ha/atom

a = 3.660 Å, b = 3.660 Å, c = 6.966 Å
α = 90.00°, β = 90.00°, γ = 90.00°
Space group P4/mmm (No. 123)
Unique sites:
1 Ni 0.000 0.000 0.000
2 Se 0.500 0.500 0.500
3 I 0.500 0.500 0.000
4 N 0.000 0.500 0.500

Material: NiSeIN2
Method: DFT, SCAN
State: PBEsol geometry

Summary:
**Energy relative to the lowest polymorph listed for this composition**: 283 meV/atom
**Calculated density**: 5.69 g/cm3
**E_form (uncorrected)**: 1.893 eV per atom
**VASP energy**: -0.603 Ha/atom

a = 3.830 Å, b = 3.830 Å, c = 5.820 Å
α = 90.00°, β = 90.00°, γ = 90.00°
Space group P4/mmm (No. 123)
Unique sites:
1 Ni 0.000 0.000 0.000
2 Se 0.500 0.500 0.000
3 I 0.500 0.500 0.500
4 N 0.000 0.500 0.500

Material: NiTeIN2
Method: DFT, SCAN
State: PBEsol geometry

Summary:
**Calculated density**: 6.42 g/cm3
**E_form (uncorrected)**: 1.450 eV per atom
**VASP energy**: -0.746 Ha/atom

a = 4.024 Å, b = 4.024 Å, c = 5.454 Å
α = 90.00°, β = 90.00°, γ = 90.00°
Space group P4/mmm (No. 123)
Unique sites:
1 Ni 0.000 0.000 0.000
2 Te 0.500 0.500 0.500
3 I 0.000 0.000 0.500
4 N 0.000 0.500 0.000

Material: OsIN2O
Method: DFT, SCAN
State: PBEsol geometry

Summary:
**Calculated density**: 9.92 g/cm3
**E_form (uncorrected)**: 2.767 eV per atom
**VASP energy**: -0.879 Ha/atom

a = 3.805 Å, b = 3.805 Å, c = 4.174 Å
α = 90.00°, β = 90.00°, γ = 90.00°
Space group P4/mmm (No. 123)
Unique sites:
1 Os 0.000 0.000 0.000
2 I 0.500 0.500 0.000
3 N 0.000 0.500 0.500
4 O 0.500 0.500 0.500

Material: PtIN2O
Method: DFT, SCAN
State: PBEsol geometry

Summary:
**Calculated density**: 9.10 g/cm3
**E_form (uncorrected)**: 2.302 eV per atom
**VASP energy**: -0.884 Ha/atom

a = 3.834 Å, b = 3.834 Å, c = 4.541 Å
α = 90.00°, β = 90.00°, γ = 90.00°
Space group P4/mmm (No. 123)
Unique sites:
1 Pt 0.000 0.000 0.000
2 I 0.500 0.500 0.000
3 N 0.000 0.500 0.500
4 O 0.500 0.500 0.500

Material: RuIN2O
Method: DFT, SCAN
State: PBEsol geometry

Summary:
**Calculated density**: 6.95 g/cm3
**E_form (uncorrected)**: 1.934 eV per atom
**VASP energy**: -0.637 Ha/atom

a = 4.053 Å, b = 4.053 Å, c = 3.958 Å
α = 90.00°, β = 90.00°, γ = 90.00°
Space group P4/mmm (No. 123)
Unique sites:
1 Ru 0.000 0.000 0.000
2 I 0.500 0.500 0.500
3 N 0.000 0.500 0.500
4 O 0.500 0.500 0.000

Material: RuINO2
Method: DFT, SCAN
State: PBEsol geometry

Summary:
**Calculated density**: 7.58 g/cm3
**E_form (uncorrected)**: 1.632 eV per atom
**VASP energy**: -0.626 Ha/atom

a = 3.757 Å, b = 3.757 Å, c = 4.251 Å
α = 90.00°, β = 90.00°, γ = 90.00°
Space group P4/mmm (No. 123)
Unique sites:
1 Ru 0.000 0.000 0.000
2 I 0.500 0.500 0.000
3 N 0.500 0.500 0.500
4 O 0.000 0.500 0.500

Material: RuINO2
Method: DFT, SCAN
State: PBEsol geometry

Summary:
**Calculated density**: 7.59 g/cm3
**E_form (uncorrected)**: 0.282 eV per atom
**VASP energy**: -0.676 Ha/atom

a = 3.892 Å, b = 3.892 Å, c = 3.957 Å
α = 90.00°, β = 90.00°, γ = 90.00°
Space group P4/mmm (No. 123)
Unique sites:
1 Ru 0.000 0.000 0.000
2 I 0.500 0.500 0.500
3 N 0.000 0.000 0.500
4 O 0.000 0.500 0.000

Material: SbIN2O
Method: DFT, SCAN
State: PBEsol geometry

Summary:
**Calculated density**: 7.21 g/cm3
**E_form (uncorrected)**: 0.950 eV per atom
**VASP energy**: -0.691 Ha/atom

a = 4.161 Å, b = 4.161 Å, c = 3.892 Å
α = 90.00°, β = 90.00°, γ = 90.00°
Space group P4/mmm (No. 123)
Unique sites:
1 Sb 0.000 0.000 0.000
2 I 0.500 0.500 0.500
3 N 0.000 0.500 0.000
4 O 0.000 0.000 0.500

Material: SnIN2O
Method: DFT, SCAN
State: PBEsol geometry

Summary:
**Calculated density**: 6.87 g/cm3
**E_form (uncorrected)**: 1.047 eV per atom
**VASP energy**: -0.678 Ha/atom

a = 4.217 Å, b = 4.217 Å, c = 3.938 Å
α = 90.00°, β = 90.00°, γ = 90.00°
Space group P4/mmm (No. 123)
Unique sites:
1 Sn 0.000 0.000 0.000
2 I 0.500 0.500 0.500
3 N 0.000 0.500 0.000
4 O 0.000 0.000 0.500

Material: TaIN2O
Method: DFT, SCAN
State: PBEsol geometry

Summary:
**Calculated density**: 6.71 g/cm3
**E_form (uncorrected)**: 0.626 eV per atom
**VASP energy**: -0.919 Ha/atom

a = 3.858 Å, b = 3.858 Å, c = 5.853 Å
α = 90.00°, β = 90.00°, γ = 90.00°
Space group P4/mmm (No. 123)
Unique sites:
1 Ta 0.000 0.000 0.000
2 I 0.000 0.000 0.500
3 N 0.000 0.500 0.000
4 O 0.500 0.500 0.500

Material: TcIN2O
Method: DFT, SCAN
State: PBEsol geometry

Summary:
**Calculated density**: 5.85 g/cm3
**E_form (uncorrected)**: 0.807 eV per atom
**VASP energy**: -0.680 Ha/atom

a = 3.687 Å, b = 3.687 Å, c = 5.620 Å
α = 90.00°, β = 90.00°, γ = 90.00°
Space group P4/mmm (No. 123)
Unique sites:
1 Tc 0.000 0.000 0.000
2 I 0.000 0.000 0.500
3 N 0.000 0.500 0.000
4 O 0.500 0.500 0.500

Number 1: magnetization 0.337 μB/atom. Number 2: magnetization 0.325 μB/atom. Number 3: magnetization 0.930 μB/atom. Number 4: magnetization 0.178 μB/atom. Number 5: magnetization 0.632 μB/atom. Number 6: magnetization 0.876 μB/atom. Number 7: magnetization 0.382 μB/atom. Number 8: magnetization 0.000 μB/atom. Number 9: magnetization 0.000 μB/atom. Number 10: magnetization 0.000 μB/atom. Number 11: magnetization 0.204 μB/atom. Number 12: magnetization 0.001 μB/atom.